Entry 1:
The following is a PBE-GGA calculation of a relaxed Hg2PdPb6 crystal, from Alexandria via LeMat-Bulk.

Cell and atoms, written as extended XYZ:
```
9
Lattice="4.357 0.000 0.000 0.000 7.452 -3.431 0.000 -0.754 8.170" Properties=species:S:1:pos:R:3 pbc="T T T"
Hg 0.000 1.981 4.304
Hg 0.000 4.716 0.435
Pd 2.178 7.451 -3.431
Pb 2.178 4.665 -2.148
Pb 2.178 2.506 1.773
Pb 2.178 -0.472 5.113
Pb 0.000 1.833 -0.844
Pb 0.000 5.051 3.572
Pb 0.000 -0.184 2.010
```

Properties
Formation energy from the elements   -0.06 eV per atom
Magnetization   0.000 μB per atom
Crystal system   hexagonal
Calculated density   11.4 g/cm3
Space group   P-62m (189)
Raw total energy   -28.57 eV/cell

Entry 2:
The following is a PBE-GGA calculation of a relaxed Ca2BeCu crystal, from Alexandria via LeMat-Bulk.

Cell and atoms, written as extended XYZ:
```
4
Lattice="7.721 -0.103 -0.062 6.714 3.815 -0.062 6.714 1.726 3.402" Properties=species:S:1:pos:R:3 pbc="T T T"
Be 15.861 4.078 2.458
Ca 21.115 5.429 3.273
Ca 10.607 2.727 1.644
Cu 5.287 1.359 0.819
```

Properties
Formation energy from the elements   0.40 eV per atom
Magnetization   0.000 μB per atom
Crystal system   trigonal
Calculated density   2.4 g/cm3
Space group   R-3m (166)
Raw total energy   -10.24 eV/cell

Entry 3:
The following is a PBE-GGA calculation of a relaxed CaMg6Zn6 crystal, from Alexandria via LeMat-Bulk.

Cell and atoms, written as extended XYZ:
```
13
Lattice="-0.558 -1.393 -5.260 -1.241 -3.598 3.929 -9.068 3.241 0.103" Properties=species:S:1:pos:R:3 pbc="T T T"
Ca 0.000 0.000 0.000
Mg -3.128 1.118 0.036
Mg -5.940 2.123 0.067
Mg -0.786 -2.128 -2.197
Mg -1.013 -2.863 0.866
Mg -5.320 -0.507 -2.146
Mg -5.548 -1.242 0.917
Zn -2.797 -1.021 1.989
Zn -3.076 -1.718 -0.641
Zn -2.455 0.081 -2.605
Zn -7.792 -0.032 -0.587
Zn -7.513 0.664 2.043
Zn -7.171 1.767 -2.552
```

Properties
Formation energy from the elements   -0.12 eV per atom
Excess energy over the best structure of this formula in the dataset   25.0 meV per atom
Magnetization   0.000 μB per atom
Crystal system   hexagonal
Calculated density   3.8 g/cm3
Space group   P6/mmm (191)
Raw total energy   -20.71 eV/cell